Pr3As2O | GGA-PBE | relaxed

The structure in CIF format:
```
data_Pr3As2O
_cell_length_a 12.859
_cell_length_b 6.015
_cell_length_c 8.172
_cell_angle_alpha 90.00
_cell_angle_beta 108.41
_cell_angle_gamma 90.00
_symmetry_space_group_name_H-M 'C 1 2/c 1'
_symmetry_Int_Tables_number 15
loop_
_symmetry_equiv_pos_as_xyz
'x,y,z'
'-x,-y,-z'
'-x,y,-z+1/2'
'x,-y,z+1/2'
'x+1/2,y+1/2,z'
'-x+1/2,-y+1/2,-z'
'-x+1/2,y+1/2,-z+1/2'
'x+1/2,-y+1/2,z+1/2'
loop_
_atom_site_label
_atom_site_fract_x
_atom_site_fract_y
_atom_site_fract_z
Pr1 0.000 0.053 0.250
Pr2 0.152 0.498 0.577
As1 0.173 0.001 0.086
O1 0.000 0.443 0.250
```

crystal system: monoclinic
calculated volume: 24.99 Å³ per atom
formation energy without anion corrections: -1.791 eV per atom

=====

ScGa2Ir2 | GGA-PBE | relaxed

The structure in CIF format:
```
data_ScGa2Ir2
_cell_length_a 7.394
_cell_length_b 7.394
_cell_length_c 2.934
_cell_angle_alpha 90.00
_cell_angle_beta 90.00
_cell_angle_gamma 90.00
_symmetry_space_group_name_H-M 'P 4/m b m'
_symmetry_Int_Tables_number 127
_symmetry_space_group_name_Hall '-P 4 2ab'
loop_
_atom_site_label
_atom_site_fract_x
_atom_site_fract_y
_atom_site_fract_z
Sc1 0.000 0.000 0.000
Ga1 0.154 0.346 0.500
Ir1 0.144 0.644 0.000
```

crystal system: tetragonal
calculated volume: 16.04 Å³ per atom
formation energy: -0.574 eV/atom
polymorph energy (0 for the lowest one): 0.047 eV/atom

=====

Y6Cu5Ir | GGA-PBE | relaxed

The structure in CIF format:
```
data_Y6Cu5Ir
_cell_length_a 4.904
_cell_length_b 6.967
_cell_length_c 7.786
_cell_angle_alpha 90.00
_cell_angle_beta 108.46
_cell_angle_gamma 90.00
_symmetry_space_group_name_H-M 'P 1 2/m 1'
_symmetry_Int_Tables_number 10
loop_
_symmetry_equiv_pos_as_xyz
'x,y,z'
'-x,-y,-z'
'-x,y,-z'
'x,-y,z'
loop_
_atom_site_label
_atom_site_fract_x
_atom_site_fract_y
_atom_site_fract_z
Y1 0.000 0.244 0.000
Y2 0.336 0.248 0.672
Cu1 0.163 0.500 0.328
Cu2 0.173 0.000 0.345
Cu3 0.500 0.500 0.000
Ir1 0.500 0.000 0.000
```

crystal system: monoclinic
calculated volume: 21.03 Å³ per atom
formation energy: -0.359 eV/atom